# 1
A relaxed structure of Na2Al2As. Source: Alexandria via LeMat-Bulk, functional PBE.

Output
uncorrected energy = -2.664 eV per atom

Geometry as extended XYZ:
```
10
Lattice="-6.690 -0.264 -5.220 3.803 -6.063 -4.567 -1.306 -2.162 1.783" Properties=species:S:1:pos:R:3 pbc="T T T"
Na -4.901 -3.191 -4.779
Na 0.708 -5.297 -3.225
Na -2.160 -6.190 -6.408
Na -2.032 -2.299 -1.596
Al 0.743 -2.391 -2.355
Al -3.631 -3.936 -7.431
Al 0.776 -5.497 -6.097
Al -3.664 -0.830 -3.690
As -1.444 -3.163 -4.893
As 0.000 0.000 0.000
```

# 2
A relaxed structure of AcPuZnAu. Source: Alexandria via LeMat-Bulk, functional PBE.

Output
uncorrected energy = -6.045 eV per atom

Geometry as extended XYZ:
```
4
Lattice="-0.838 4.902 1.971 -4.989 1.858 0.516 -2.142 0.596 4.865" Properties=species:S:1:pos:R:3 pbc="T T T"
Ac -1.992 1.839 1.838
Pu -5.977 5.517 5.514
Zn 0.000 0.000 0.000
Au -3.985 3.678 3.676
```

# 3
A relaxed structure of Tb6Dy3Y2Pu. Source: Alexandria via LeMat-Bulk, functional PBE.

Output
uncorrected energy = -5.692 eV per atom

Geometry as extended XYZ:
```
12
Lattice="6.143 -0.001 -0.005 -3.071 5.320 -0.005 -1.019 -1.765 11.542" Properties=species:S:1:pos:R:3 pbc="T T T"
Y 0.002 3.546 -0.005
Y 3.071 1.773 -0.005
Tb 0.029 3.554 8.660
Tb 2.061 3.569 2.867
Tb -0.008 -0.014 8.665
Tb -1.010 1.754 2.872
Tb 2.024 0.001 2.872
Tb 3.063 1.801 8.660
Pu 0.000 0.000 0.000
Dy 1.027 1.777 5.766
Dy 4.094 0.006 5.766
Dy -2.041 3.549 5.766
```

# 4
A relaxed structure of Pm3Hg5S12. Source: Alexandria via LeMat-Bulk, functional PBE.

Output
energy relative to the elements, uncorrected = -11.713 eV per formula unit

Geometry as extended XYZ:
```
80
Lattice="-3.507 9.415 -9.389 -0.240 -12.498 -5.730 -8.914 0.418 10.462" Properties=species:S:1:pos:R:3 pbc="T T T"
S -5.563 -7.500 0.343
S -3.581 -3.594 -12.491
S -4.991 1.684 -10.483
S -7.684 0.946 -2.740
S -1.693 -6.261 -5.038
S -4.977 -3.611 -1.917
S -8.262 -6.065 -3.924
S -3.754 -10.474 -2.233
S -5.610 -3.515 -10.118
S -5.948 -5.109 -6.105
S -6.751 -0.397 0.150
S -4.193 -0.443 -8.339
S -8.908 7.809 -2.423
S -5.044 -6.455 -3.207
S -7.098 4.835 -5.000
S -2.503 -4.118 -7.161
S -4.458 0.568 -2.050
S -6.075 1.867 -6.083
S -8.203 -3.233 -2.607
S -10.968 3.596 0.381
S -8.440 -8.118 -0.704
S -4.221 5.453 -3.952
S -8.468 -2.222 3.682
S -10.348 -1.421 -5.201
S -5.910 -2.268 -4.807
S -1.347 -3.866 -2.765
S -9.080 0.929 7.834
S -8.315 -1.529 -7.570
S -2.313 -1.244 0.544
S -10.533 -0.946 0.239
S -7.618 3.790 -1.450
S -1.741 -10.572 -4.621
S -7.051 0.850 5.461
S -11.315 1.201 -1.892
S -3.017 5.105 -7.027
S -6.586 -4.532 1.426
S -6.763 -7.180 3.423
S -10.920 7.907 -0.036
S -4.399 3.400 -0.733
S -9.645 -7.770 2.370
S -4.347 -1.136 2.913
S -10.158 1.453 2.504
S -3.205 2.474 -5.009
S -2.128 -1.719 -4.895
S -5.898 4.515 -8.079
S -9.456 -5.139 0.353
S -6.713 2.444 1.448
S -7.670 -4.349 5.826
Pm -8.412 -3.613 -5.517
Pm -3.835 2.427 -7.883
Pm -8.968 1.511 -0.170
Pm -4.363 -1.083 -11.205
Pm -8.827 -5.092 3.226
Pm -4.250 0.948 0.860
Pm -5.595 2.917 -3.377
Pm -7.334 -9.446 1.659
Pm -5.327 6.781 -6.316
Pm -8.298 -1.582 6.548
Pm -7.067 -5.582 -1.280
Pm -3.694 -4.176 -4.487
Hg -1.754 4.708 -4.694
Hg -2.201 -8.530 -6.053
Hg -2.489 0.458 -3.646
Hg -8.700 5.375 -3.109
Hg -6.211 4.917 0.537
Hg -4.577 -6.040 2.366
Hg -2.757 -3.405 -0.707
Hg -6.123 -0.593 -6.700
Hg -6.331 -1.333 -2.328
Hg -0.120 -6.249 -2.865
Hg -1.874 -1.541 -7.560
Hg -3.961 -8.040 -1.548
Hg -10.460 5.865 1.397
Hg -8.031 2.282 3.610
Hg -6.538 -2.072 2.043
Hg -4.457 0.209 5.231
Hg -9.904 0.740 -3.950
Hg -10.172 -3.123 -1.011
Hg -4.631 -4.947 -8.266
Hg 0.000 0.000 0.000
```

# 5
A relaxed structure of ZrRe2Se. Source: Alexandria via LeMat-Bulk, functional PBE.

Output
energy relative to the elements, uncorrected = -0.239 eV per formula unit

Geometry as extended XYZ:
```
4
Lattice="-2.077 -2.263 0.509 1.741 -1.069 2.349 -3.538 4.273 4.567" Properties=species:S:1:pos:R:3 pbc="T T T"
Zr -2.810 1.525 4.840
Re -0.104 0.126 0.134
Re -0.971 -0.696 2.466
Se -1.758 2.123 2.269
```

# 6
A relaxed structure of Pm3BiIr. Source: Alexandria via LeMat-Bulk, functional PBE.

Output
relative energy among the computed polymorphs = 281 meV/atom

Geometry as extended XYZ:
```
10
Lattice="7.431 -0.001 0.000 3.715 6.436 -0.002 3.715 2.139 7.088" Properties=species:S:1:pos:R:3 pbc="T T T"
Pm 10.838 4.753 2.824
Pm 5.355 1.382 2.831
Pm 5.301 3.603 6.069
Pm 8.951 3.602 6.068
Pm 8.893 1.382 2.834
Pm 7.125 6.761 6.064
Ir 7.126 0.366 0.832
Ir 3.410 2.510 4.407
Bi 7.124 4.651 3.254
Bi 10.842 6.798 5.637
```

# 7
A relaxed structure of Ac4In2Ir. Source: Alexandria via LeMat-Bulk, functional PBE.

Output
relative energy among the computed polymorphs = 114 meV/atom

Geometry as extended XYZ:
```
7
Lattice="-4.050 1.993 3.546 3.273 -1.374 4.511 3.928 7.318 -4.272" Properties=species:S:1:pos:R:3 pbc="T T T"
Ac -2.025 0.996 1.773
Ac 1.636 -0.687 2.255
Ac 1.885 5.209 3.872
Ac 1.266 2.728 -0.087
Ir 0.000 0.000 0.000
In 0.496 2.215 3.967
In 2.655 5.721 -0.183
```

# 8
A relaxed structure of LiBeAg. Source: Alexandria via LeMat-Bulk, functional PBE.

Output
relative energy among the computed polymorphs = 50 meV/atom

Geometry as extended XYZ:
```
6
Lattice="-1.908 -0.049 1.937 -2.131 -0.697 -4.025 4.658 -6.207 4.431" Properties=species:S:1:pos:R:3 pbc="T T T"
Be 0.632 -4.306 0.514
Be -0.013 -2.647 1.829
Ag -0.557 -2.309 -0.607
Ag 1.176 -4.644 2.950
Li 3.755 -5.770 3.552
Li -3.135 -1.183 -1.210
```